Record 1
VASP calculation (PBE-GGA) on a geometry-optimized RbCrCu2 structure.

It has space group I4_1/amd (No. 141, origin choice 2), with a = 5.033 Å, b = 5.033 Å, c = 17.754 Å, α = 90.00°, β = 90.00° and γ = 90.00°. The distinct sites, in fractional coordinates, are Rb at (0.000, 0.250, 0.375), Cr at (0.000, 0.250, 0.875) and Cu at (0.000, 0.000, 0.000).


Record 2
VASP calculation (PBE-GGA) on a geometry-optimized HfTa3Pb structure.

It has space group Pm-3m (No. 221), with a = 4.971 Å, b = 4.971 Å, c = 4.971 Å, α = 90.00°, β = 90.00° and γ = 90.00°. The distinct sites, in fractional coordinates, are Hf at (0.000, 0.000, 0.000), Ta at (0.000, 0.000, 0.500) and Pb at (0.500, 0.500, 0.500).


Record 3
VASP calculation (PBE-GGA) on a geometry-optimized B2C structure.

It has space group Pm (No. 6), with a = 4.272 Å, b = 2.531 Å, c = 8.194 Å, α = 90.00°, β = 90.62° and γ = 90.00°. The distinct sites, in fractional coordinates, are B at (0.000, 0.000, 0.000), B at (0.006, 0.000, 0.311), B at (0.157, 0.000, 0.775), B at (0.382, 0.500, 0.208), B at (0.406, 0.500, 0.485), B at (0.490, 0.500, 0.765), B at (0.705, 0.500, 0.338), B at (0.791, 0.500, 0.903), C at (0.191, 0.000, 0.481), C at (0.222, 0.000, 0.147), C at (0.736, 0.500, 0.593) and C at (0.940, 0.000, 0.611).


no.,N(E_F) (states/eV/f.u.),E above lowest polymorph (meV per atom)
1,2.1,0
2,8.7,0
3,0.4,282